Record 1
First-principles (PBE) data for MgCoSi after structural relaxation, as listed in Alexandria via LeMat-Bulk.

The space group is I4mm (No. 107) and the conventional cell measures 2.9948, 2.9948 and 9.2533 Å, with angles of 90.00, 90.00 and 90.00 degrees. The distinct sites, in fractional coordinates, are Mg at (0.0000, 0.0000, 0.0000), Co at (0.0000, 0.0000, 0.3066) and Si at (0.0000, 0.0000, 0.7044).

Record 2
First-principles (PBE) data for Mg14CoSi after structural relaxation, as listed in Alexandria via LeMat-Bulk.

The space group is Amm2 (No. 38) and the conventional cell measures 9.9201, 6.2981 and 10.6994 Å, with angles of 90.00, 90.00 and 90.00 degrees. The distinct sites, in fractional coordinates, are Mg at (0.0000, 0.0000, 0.0000), Mg at (0.0000, 0.0000, 0.4997), Mg at (0.0000, 0.2489, 0.2455), Mg at (0.2493, 0.0000, 0.8298), Mg at (0.2552, 0.0000, 0.3324), Mg at (0.2834, 0.2424, 0.5734), Mg at (0.5000, 0.2472, 0.2718), Co at (0.5000, 0.0000, 0.4860) and Si at (0.5000, 0.0000, 0.9920).

The calculation puts the energy above the most stable polymorph in this dataset at 0 meV per atom.

| no. | formation energy without anion corrections (eV/atom) |
| --- | --- |
| 1 | -0.263 |
| 2 | 0.066 |